[1]
Entry from Alexandria: an optimized crystal structure of Cs3SiGe4 (PBE).

The crystal system is orthorhombic. The calculation puts the raw formation energy at 0.01 eV per atom.

Lattice parameters (Å, degrees): 14.805 8.480 10.031 90.00 90.00 90.00
Space group Pnma (No. 62)
Inequivalent atoms, fractional coordinates:
Cs: 0.108 0.250 0.232
Cs: 0.155 0.022 0.696
Si: 0.086 0.750 0.225
Ge: 0.030 0.750 0.452
Ge: 0.067 0.597 0.018
Ge: 0.193 0.750 0.410



[2]
Entry from Alexandria: an optimized crystal structure of TiMnB2Te (PBE).

The crystal system is tetragonal. The calculation puts the raw formation energy at 1.61 eV per atom.

Lattice parameters (Å, degrees): 4.128 4.128 5.239 90.00 90.00 90.00
Space group P4/mmm (No. 123)
Inequivalent atoms, fractional coordinates:
Ti: 0.000 0.000 0.000
Mn: 0.500 0.500 0.500
B: 0.000 0.500 0.000
Te: 0.000 0.000 0.500



[3]
Entry from Alexandria: an optimized crystal structure of AlAgBi (PBE).

As for the formation energy: 0.161 eV per atom. As for the energy above the most stable polymorph in this dataset: 0.104 eV per atom. The crystal system is tetragonal.

Lattice parameters (Å, degrees): 3.267 3.267 12.703 90.00 90.00 90.00
Space group I4mm (No. 107)
Inequivalent atoms, fractional coordinates:
Al: 0.000 0.000 0.000
Ag: 0.000 0.000 0.379
Bi: 0.000 0.000 0.690



Number 1: DOS at the Fermi energy 0.345 states/eV per atom. Number 2: DOS at the Fermi energy 1.209 states/eV per atom. Number 3: DOS at the Fermi energy 0.431 states/eV per atom.